1.
The following is a PBE-GGA calculation of crystalline Sm2Ge6Pt at its relaxed geometry, from Alexandria via LeMat-Bulk.

a = 4.119 Å, b = 4.167 Å, c = 11.260 Å
α = 90.00°, β = 100.54°, γ = 90.00°
Sites, in units of the cell vectors:
Ge1 0.886 0.500 0.773
Ge2 0.712 0.000 0.424
Ge3 0.211 0.500 0.423
Ge4 0.456 0.500 0.912
Ge5 0.599 0.000 0.198
Ge6 0.098 0.500 0.196
Sm1 0.333 0.000 0.667
Sm2 0.997 0.000 0.993
Pt1 0.776 0.500 0.552

Energy, eV for the cell shown: -48.2
DOS(E_F), states/eV/atom: 0.27
Calculated formation energy, eV/atom: -0.561



2.
The following is a PBE-GGA calculation of crystalline SmGePt2 at its relaxed geometry, from Alexandria via LeMat-Bulk.

a = 4.347 Å, b = 4.347 Å, c = 5.569 Å
α = 67.03°, β = 67.03°, γ = 60.00°
Sites, in units of the cell vectors:
Sm1 0.000 0.000 0.000
Pt1 0.789 0.789 0.632
Pt2 0.211 0.211 0.368
Ge1 0.500 0.500 0.500

Energy, eV for the cell shown: -24.9
DOS(E_F), states/eV/atom: 0.59
Calculated formation energy, eV/atom: -0.859



Question: Look up the calculated formation energy of the second one.
Answer: -0.859 eV/atom